Entry 1:
TaCdGe2O8: optimized geometry, PBE.

```
12
Lattice="-3.3608 3.3608 3.1968 3.3608 -3.3608 3.1968 3.3608 3.3608 -3.1968" Properties=species:S:1:pos:R:3 pbc="T T T"
Ta 0.0000 0.0000 0.0000
Cd 3.3608 0.0000 1.5984
Ge 0.0000 0.0000 3.1968
Ge 0.0000 3.3608 1.5984
O 2.1792 3.3608 -1.3172
O 1.1816 0.0000 1.8796
O 0.0000 1.9891 0.4735
O 3.3608 2.1792 1.3172
O 0.0000 4.7325 0.4735
O 0.0000 1.1816 4.5140
O -1.3717 3.3608 2.7233
O 1.3717 3.3608 2.7233
```

Values from the calculation:
space-group type = I-4m2



Entry 2:
TaCdGeO6: optimized geometry, PBE.

```
18
Lattice="4.8098 0.0000 0.0000 0.0000 4.8098 0.0000 0.0000 0.0000 9.4014" Properties=species:S:1:pos:R:3 pbc="T T T"
Ta 0.0000 0.0000 0.0000
Ta 2.4049 2.4049 4.7007
Cd 0.0000 0.0000 3.1031
Cd 2.4049 2.4049 7.8038
Ge 0.0000 0.0000 6.2386
Ge 2.4049 2.4049 1.5379
O 0.8317 0.8317 7.7511
O 0.9917 0.9917 4.9244
O 1.0634 1.0634 1.2800
O 1.3415 3.4683 5.9807
O 1.4132 3.3966 0.2236
O 1.5732 3.2366 3.0504
O 3.2366 1.5732 3.0504
O 3.3966 1.4132 0.2236
O 3.4683 1.3415 5.9807
O 3.7464 3.7464 1.2800
O 3.8180 3.8180 4.9244
O 3.9781 3.9781 7.7511
```

Values from the calculation:
space-group type = P4_2nm



Entry 3:
Cd2TcGeO6: optimized geometry, PBE.

```
10
Lattice="5.2697 0.0000 0.0000 0.0000 5.2697 0.0000 0.0000 0.0000 4.7121" Properties=species:S:1:pos:R:3 pbc="T T T"
Cd 0.0000 2.6349 0.0000
Cd 2.6349 0.0000 0.0000
Tc 0.0000 0.0000 2.7050
Ge 2.6349 2.6349 2.6048
O 0.0000 0.0000 0.8187
O 1.3615 1.3615 3.1937
O 1.3615 3.9083 3.1937
O 2.6349 2.6349 0.8364
O 3.9083 1.3615 3.1937
O 3.9083 3.9083 3.1937
```

Values from the calculation:
space-group type = P4mm



Entry 4:
CdGe2TeO8: optimized geometry, PBE.

```
12
Lattice="-3.4263 3.4263 3.1552 3.4263 -3.4263 3.1552 3.4263 3.4263 -3.1552" Properties=species:S:1:pos:R:3 pbc="T T T"
Cd 0.0000 0.0000 0.0000
Ge 0.0000 0.0000 3.1552
Ge 0.0000 3.4263 1.5776
Te 3.4263 0.0000 1.5776
O 2.0568 3.4263 -1.1436
O 1.3695 0.0000 2.0116
O 0.0000 2.2159 0.2733
O 3.4263 2.0568 1.1436
O 0.0000 4.6367 0.2733
O 0.0000 1.3695 4.2988
O -1.2104 3.4263 2.8819
O 1.2104 3.4263 2.8819
```

Values from the calculation:
space-group type = I-4m2



Entry 5:
Cd2GeTeO6: optimized geometry, PBE.

```
10
Lattice="5.5109 0.0000 0.0000 0.0000 5.5109 0.0000 0.0000 0.0000 4.8362" Properties=species:S:1:pos:R:3 pbc="T T T"
Cd 0.0000 2.7554 0.0000
Cd 2.7554 0.0000 0.0000
Ge 0.0000 0.0000 2.8955
Te 2.7554 2.7554 2.9503
O 0.0000 0.0000 1.1375
O 1.2836 1.2836 3.5117
O 1.2836 4.2272 3.5117
O 2.7554 2.7554 1.0331
O 4.2272 1.2836 3.5117
O 4.2272 4.2272 3.5117
```

Values from the calculation:
space-group type = P4mm



Entry 6:
CdGeTe2O8: optimized geometry, PBE.

```
12
Lattice="3.3034 -3.4745 0.0000 3.3034 3.4745 0.0000 0.0000 0.0000 6.6243" Properties=species:S:1:pos:R:3 pbc="T T T"
Cd 0.0000 0.0000 0.0000
Ge 0.0000 0.0000 3.3121
Te 3.3034 0.0000 1.7020
Te 3.3034 0.0000 4.9223
O 1.2760 0.0000 1.8986
O 1.2760 0.0000 4.7257
O 3.3034 1.3796 3.3121
O 3.3034 1.2089 0.0000
O 3.3034 -1.2089 0.0000
O 3.3034 -1.3796 3.3121
O 5.3307 0.0000 1.8986
O 5.3307 0.0000 4.7257
```

Values from the calculation:
space-group type = Cmmm



Entry 7:
ThCdGeO: optimized geometry, PBE.

```
8
Lattice="4.1505 0.0000 0.0000 0.0000 4.1505 0.0000 0.0000 0.0000 8.9704" Properties=species:S:1:pos:R:3 pbc="T T T"
Th 1.0376 1.0376 1.2901
Th 3.1129 3.1129 7.6803
Cd 1.0376 3.1129 4.4852
Cd 3.1129 1.0376 4.4852
Ge 1.0376 1.0376 6.3684
Ge 3.1129 3.1129 2.6021
O 1.0376 3.1129 0.0000
O 3.1129 1.0376 0.0000
```

Values from the calculation:
space-group type = P4/nmm



Entry 8:
TiCd2GeO6: optimized geometry, PBE.

```
10
Lattice="5.1675 0.0000 0.0000 0.0000 5.1675 0.0000 0.0000 0.0000 4.7728" Properties=species:S:1:pos:R:3 pbc="T T T"
Ti 0.0000 0.0000 0.0000
Cd 0.0000 2.5838 2.0863
Cd 2.5838 0.0000 2.0863
Ge 2.5838 2.5838 0.0219
O 0.0000 0.0000 2.9981
O 1.3167 1.3167 0.5822
O 1.3167 3.8508 0.5822
O 2.5838 2.5838 3.0149
O 3.8508 1.3167 0.5822
O 3.8508 3.8508 0.5822
```

Values from the calculation:
space-group type = P4mm



Number 1: total energy -81.413 eV/cell. Number 2: total energy -125.932 eV/cell. Number 3: total energy -57.291 eV/cell. Number 4: total energy -65.177 eV/cell. Number 5: total energy -49.128 eV/cell. Number 6: total energy -63.826 eV/cell. Number 7: total energy -48.799 eV/cell. Number 8: total energy -61.025 eV/cell.